1.
Below is a relaxed structure of Tb2ThMg, with properties calculated at the PBE level.

abc: 3.593 3.593 9.227
angles: 90.00 90.00 90.00
Positions (direct):
Th 0.500 0.500 0.500
Tb 0.000 0.000 0.760
Tb 0.000 0.000 0.240
Mg 0.500 0.500 0.000

Calculated values
Spin magnetization in μB/cell: 0.00
Theoretical density in g/cm³: 8.00
Crystal system: tetragonal
N(E_F) in states/eV per atom: 1.0465
SG: P4/mmm (123)


2.
Below is a relaxed structure of Tb2ThMg, with properties calculated at the PBE level.

abc: 4.967 4.916 4.916
angles: 90.00 90.00 90.00
Positions (direct):
Mg 0.500 0.000 0.000
Tb 0.000 0.000 0.500
Tb 0.000 0.500 0.000
Th 0.500 0.500 0.500

Calculated values
Spin magnetization in μB/cell: 0.00
Theoretical density in g/cm³: 7.94
Crystal system: tetragonal
N(E_F) in states/eV per atom: 1.7580
SG: P4/mmm (123)


Computed relative energies in units of kJ/mol of atoms: 1 0.0; 2 10.1


1.
Below is a relaxed structure of TbTh2Mg, with properties calculated at the PBE level.

abc: 3.456 3.456 11.988
angles: 81.71 81.71 60.00
Positions (direct):
Th 0.249 0.249 0.254
Th 0.085 0.085 0.746
Tb 0.666 0.666 0.001
Mg 0.500 0.500 0.499

Calculated values
Spin magnetization in μB/cell: 0.00
Theoretical density in g/cm³: 8.79
Crystal system: trigonal
N(E_F) in states/eV per atom: 1.3312
SG: R3m (160)


2.
Below is a relaxed structure of TbTh2Mg, with properties calculated at the PBE level.

abc: 5.548 5.548 5.548
angles: 60.00 60.00 60.00
Positions (direct):
Tb 0.500 0.500 0.500
Mg 0.000 0.000 0.000
Th 0.750 0.750 0.750
Th 0.250 0.250 0.250

Calculated values
Spin magnetization in μB/cell: 0.00
Theoretical density in g/cm³: 8.90
Crystal system: cubic
N(E_F) in states/eV per atom: 1.1430
SG: Fm-3m (225)


Computed relative energies in units of kJ/mol of atoms: 1 0.0; 2 4.7


1.
Below is a relaxed structure of TbTh2Mg, with properties calculated at the PBE level.

abc: 3.485 3.485 10.062
angles: 90.00 90.00 90.00
Positions (direct):
Tb 0.500 0.500 0.500
Th 0.000 0.000 0.759
Th 0.000 0.000 0.241
Mg 0.500 0.500 0.000

Calculated values
Spin magnetization in μB/cell: 0.00
Theoretical density in g/cm³: 8.79
Crystal system: tetragonal
N(E_F) in states/eV per atom: 1.1813
SG: P4/mmm (123)


2.
Below is a relaxed structure of TbTh2Mg, with properties calculated at the PBE level.

abc: 3.429 3.429 12.776
angles: 82.29 82.29 60.00
Positions (direct):
Tb 0.500 0.500 0.500
Mg 0.000 0.000 0.000
Th 0.088 0.088 0.736
Th 0.912 0.912 0.264

Calculated values
Spin magnetization in μB/cell: 0.00
Theoretical density in g/cm³: 8.37
Crystal system: trigonal
N(E_F) in states/eV per atom: 1.2745
SG: R-3m (166)


3.
Below is a relaxed structure of TbTh2Mg, with properties calculated at the PBE level.

abc: 5.025 4.900 4.900
angles: 90.00 90.00 90.00
Positions (direct):
Mg 0.500 0.000 0.000
Th 0.000 0.500 0.000
Th 0.000 0.000 0.500
Tb 0.500 0.500 0.500

Calculated values
Spin magnetization in μB/cell: 0.00
Theoretical density in g/cm³: 8.91
Crystal system: tetragonal
N(E_F) in states/eV per atom: 1.3740
SG: P4/mmm (123)


Computed relative energies in units of kJ/mol of atoms: 1 2.3; 2 20.8; 3 0.0


1.
Below is a relaxed structure of TbThMg, with properties calculated at the PBE level.

abc: 3.460 5.446 5.446
angles: 120.00 90.00 90.00
Positions (direct):
Mg 0.401 0.333 0.667
Tb 0.576 0.667 0.333
Th 0.024 0.000 0.000

Calculated values
Spin magnetization in μB/cell: 0.00
Theoretical density in g/cm³: 7.76
Crystal system: trigonal
N(E_F) in states/eV per atom: 1.0805
SG: P3m1 (156)


2.
Below is a relaxed structure of TbThMg, with properties calculated at the PBE level.

abc: 4.792 4.792 8.030
angles: 90.00 90.00 90.00
Positions (direct):
Th 0.000 0.500 0.660
Th 0.500 0.000 0.340
Mg 0.500 0.000 0.734
Mg 0.000 0.500 0.266
Tb 0.000 0.000 0.000
Tb 0.500 0.500 0.000

Calculated values
Spin magnetization in μB/cell: 0.00
Theoretical density in g/cm³: 7.48
Crystal system: tetragonal
N(E_F) in states/eV per atom: 1.2966
SG: P4/nmm (129)


Computed relative energies in units of kJ/mol of atoms: 1 0.0; 2 13.5